Entry 1:
Below is a geometry-optimized ScAg7Cl12 structure, with properties calculated at the PBE level.

Cell and atoms, written as CIF:
```
data_ScAg7Cl12
_chemical_formula_sum 'Sc1 Ag7 Cl12'
_cell_length_a 10.3935
_cell_length_b 10.3935
_cell_length_c 10.3935
_cell_angle_alpha 115.65
_cell_angle_beta 115.65
_cell_angle_gamma 115.65
_symmetry_space_group_name_H-M 'P 1'
_symmetry_Int_Tables_number 1
_symmetry_space_group_name_Hall 'P 1'
loop_
_atom_site_label
_atom_site_type_symbol
_atom_site_fract_x
_atom_site_fract_y
_atom_site_fract_z
Sc1 Sc 0.0000 0.0000 0.0000
Ag1 Ag 0.0230 0.1517 0.7085
Ag2 Ag 0.1517 0.7085 0.0230
Ag3 Ag 0.2915 0.9770 0.8483
Ag4 Ag 0.5000 0.5000 0.5000
Ag5 Ag 0.7085 0.0230 0.1517
Ag6 Ag 0.8483 0.2915 0.9770
Ag7 Ag 0.9770 0.8483 0.2915
Cl1 Cl 0.1064 0.2419 0.3343
Cl2 Cl 0.1296 0.7200 0.2612
Cl3 Cl 0.2419 0.3343 0.1064
Cl4 Cl 0.2612 0.1296 0.7200
Cl5 Cl 0.2800 0.7388 0.8704
Cl6 Cl 0.3343 0.1064 0.2419
Cl7 Cl 0.6657 0.8936 0.7581
Cl8 Cl 0.7200 0.2612 0.1296
Cl9 Cl 0.7388 0.8704 0.2800
Cl10 Cl 0.7581 0.6657 0.8936
Cl11 Cl 0.8704 0.2800 0.7388
Cl12 Cl 0.8936 0.7581 0.6657
```


Entry 2:
Below is a geometry-optimized Nb3Sb3S structure, with properties calculated at the PBE level.

Cell and atoms, written as CIF:
```
data_Nb3Sb3S
_chemical_formula_sum 'Nb6 Sb6 S2'
_cell_length_a 6.7799
_cell_length_b 6.7799
_cell_length_c 7.3316
_cell_angle_alpha 92.88
_cell_angle_beta 92.88
_cell_angle_gamma 112.83
_symmetry_space_group_name_H-M 'P 1'
_symmetry_Int_Tables_number 1
_symmetry_space_group_name_Hall 'P 1'
loop_
_atom_site_label
_atom_site_type_symbol
_atom_site_fract_x
_atom_site_fract_y
_atom_site_fract_z
Nb1 Nb 0.0168 0.0168 0.3108
Nb2 Nb 0.1813 0.4586 0.8103
Nb3 Nb 0.4586 0.1813 0.8103
Nb4 Nb 0.5414 0.8187 0.1897
Nb5 Nb 0.8187 0.5414 0.1897
Nb6 Nb 0.9832 0.9832 0.6892
Sb1 Sb 0.1644 0.8356 0.0000
Sb2 Sb 0.2388 0.7612 0.5000
Sb3 Sb 0.3554 0.3554 0.1407
Sb4 Sb 0.6446 0.6446 0.8593
Sb5 Sb 0.7612 0.2388 0.5000
Sb6 Sb 0.8356 0.1644 0.0000
S1 S 0.2703 0.2703 0.5605
S2 S 0.7297 0.7297 0.4395
```


Uncorrected energy across the listed records, respectively: -63.015 -48.340 eV/f.u..
Energy relative to the elements, uncorrected across the listed records, respectively: -728 -234 meV per atom.